Material: Re2NiW
Method: DFT, GGA-PBE
State: relaxed

Output
V (Å³/cell): 115.7
DFT formation energy (eV/atom): 0.119
Excess energy over the best structure of this formula in the dataset (meV/atom): 108
VASP energy (eV per atom): -10.79

abc: 8.926 2.799 4.713
angles: 90.00 100.64 90.00
Space group C2/m (No. 12)
Symmetry-distinct sites (fractional):
1 Re 0.246 0.000 0.239 (multiplicity 4)
2 Ni 0.000 0.500 0.000 (multiplicity 2)
3 W 0.000 0.000 0.500 (multiplicity 2)

=====

Material: Ba5SrLi
Method: DFT, GGA-PBE
State: relaxed

Output
V (Å³/cell): 409.6
DFT formation energy (eV/atom): 0.087
VASP energy (eV per atom): -1.80

abc: 6.123 6.123 10.925
angles: 90.00 90.00 90.00
Space group P4/mmm (No. 123)
Symmetry-distinct sites (fractional):
1 Ba 0.000 0.000 0.000 (multiplicity 1)
2 Ba 0.000 0.500 0.304 (multiplicity 4)
3 Sr 0.500 0.500 0.000 (multiplicity 1)
4 Li 0.500 0.500 0.500 (multiplicity 1)

=====

Material: DyCuAg
Method: DFT, GGA-PBE
State: relaxed

Output
V (Å³/cell): 61.2
DFT formation energy (eV/atom): -0.229
Excess energy over the best structure of this formula in the dataset (meV/atom): 51
VASP energy (eV per atom): -4.08

abc: 4.5240 4.5240 3.4543
angles: 90.00 90.00 120.00
Space group P-6m2 (No. 187)
Symmetry-distinct sites (fractional):
1 Dy 0.0000 0.0000 0.0000 (multiplicity 1)
2 Cu 0.6667 0.3333 0.5000 (multiplicity 1)
3 Ag 0.3333 0.6667 0.5000 (multiplicity 1)

=====

Material: BeCoPC2
Method: DFT, GGA-PBE
State: relaxed

Output
V (Å³/cell): 59.3
DFT formation energy (eV/atom): 1.501
VASP energy (eV per atom): -5.44

abc: 3.531 3.531 4.755
angles: 90.00 90.00 90.00
Space group P4/mmm (No. 123)
Symmetry-distinct sites (fractional):
1 Be 0.000 0.000 0.000 (multiplicity 1)
2 Co 0.000 0.000 0.500 (multiplicity 1)
3 P 0.500 0.500 0.000 (multiplicity 1)
4 C 0.000 0.500 0.500 (multiplicity 2)

=====

Material: Cu2Au2Se
Method: DFT, GGA-PBE
State: relaxed

Output
V (Å³/cell): 181.0
Excess energy over the best structure of this formula in the dataset (meV/atom): 158
Formation energy from raw total energies (eV/atom): 0.24
VASP energy (eV per atom): -3.40

abc: 3.781 3.781 12.657
angles: 90.00 90.00 90.00
Space group I4/mmm (No. 139)
Symmetry-distinct sites (fractional):
1 Cu 0.000 0.000 0.094 (multiplicity 4)
2 Au 0.000 0.500 0.250 (multiplicity 4)
3 Se 0.000 0.000 0.500 (multiplicity 2)

=====

Material: Cr2FeCu
Method: DFT, GGA-PBE
State: relaxed

Output
V (Å³/cell): 47.8
DFT formation energy (eV/atom): 0.211
Excess energy over the best structure of this formula in the dataset (meV/atom): 74
VASP energy (eV per atom): -7.74

abc: 2.938 2.938 5.536
angles: 90.00 90.00 90.00
Space group P4mm (No. 99)
Symmetry-distinct sites (fractional):
1 Cr 0.000 0.000 0.000 (multiplicity 1)
2 Cr 0.500 0.500 0.240 (multiplicity 1)
3 Fe 0.500 0.500 0.758 (multiplicity 1)
4 Cu 0.000 0.000 0.506 (multiplicity 1)

=====

Material: AgPb2
Method: DFT, GGA-PBE
State: relaxed

Output
V (Å³/cell): 324.0
DFT formation energy (eV/atom): 0.064
VASP energy (eV per atom): -3.36

abc: 7.593 4.580 9.316
angles: 90.00 90.00 90.00
Space group Pnma (No. 62)
Symmetry-distinct sites (fractional):
1 Ag 0.242 0.250 0.129 (multiplicity 4)
2 Pb 0.034 0.250 0.832 (multiplicity 4)
3 Pb 0.146 0.250 0.437 (multiplicity 4)

=====

Material: Ca5Pt3
Method: DFT, GGA-PBE
State: relaxed

Output
V (Å³/cell): 404.9
DFT formation energy (eV/atom): -0.820
Excess energy over the best structure of this formula in the dataset (meV/atom): 11
VASP energy (eV per atom): -4.34

abc: 8.5341 8.5341 6.4187
angles: 90.00 90.00 120.00
Space group P6_3/mcm (No. 193)
Symmetry-distinct sites (fractional):
1 Ca 0.0000 0.2625 0.2500 (multiplicity 6)
2 Ca 0.3333 0.6667 0.0000 (multiplicity 4)
3 Pt 0.0000 0.3897 0.7500 (multiplicity 6)